A relaxed Nd2Cr2C3 crystal. Source: Alexandria, functional PBE.

Cell and atoms, written as POSCAR:
```
Nd2Cr2C3
1.0
-3.379 -0.800 0.718
1.616 -5.308 1.688
1.905 3.319 3.909
Nd Cr C
2 2 3
direct
0.600 0.818 0.199
0.400 0.182 0.801
0.840 0.599 0.680
0.160 0.401 0.320
0.000 0.500 0.000
0.299 0.710 0.598
0.701 0.290 0.402
```

Results
**M_tot**: 0.0 μB/f.u.
**ΔH_f (0 K)**: -19.3 kJ/mol of atoms
**DOS at the Fermi energy**: 5.2 states/eV/cell
**Space-group type**: No. 12

=====

A relaxed DyHo8Mg2 crystal. Source: Alexandria, functional PBE.

Cell and atoms, written as POSCAR:
```
DyHo8Mg2
1.0
5.572 -0.340 -0.510
-1.428 8.678 -0.851
-1.428 -4.127 7.680
Dy Ho Mg
1 8 2
direct
0.500 0.000 0.000
0.870 0.902 0.680
0.870 0.680 0.902
0.297 0.595 0.595
0.500 0.788 0.212
0.500 0.212 0.788
0.703 0.405 0.405
0.130 0.320 0.098
0.130 0.098 0.320
0.000 0.307 0.693
0.000 0.693 0.307
```

Results
**M_tot**: 0.0 μB/f.u.
**ΔH_f (0 K)**: 14.4 kJ/mol of atoms
**DOS at the Fermi energy**: 14.0 states/eV/cell
**Space-group type**: No. 12

=====

A relaxed MgTaTl crystal. Source: Alexandria, functional PBE.

Cell and atoms, written as POSCAR:
```
MgTaTl
1.0
3.115 0.000 0.000
-1.558 2.698 0.000
0.000 0.000 7.595
Mg Ta Tl
1 1 1
direct
0.000 0.000 0.009
0.667 0.333 0.327
0.333 0.667 0.664
```

Results
**M_tot**: 0.0 μB/f.u.
**ΔH_f (0 K)**: 37.4 kJ/mol of atoms
**DOS at the Fermi energy**: 3.6 states/eV/cell
**Space-group type**: No. 156

=====

A relaxed RbCdIn2Au crystal. Source: Alexandria, functional PBE.

Cell and atoms, written as POSCAR:
```
RbCdIn2Au
1.0
-5.007 -0.283 0.554
-0.482 -1.032 -4.880
3.200 -5.107 3.338
Rb Cd In Au
1 1 2 1
direct
0.442 0.442 0.885
0.195 0.695 0.391
0.702 0.202 0.404
0.055 0.055 0.110
0.818 0.818 0.635
```

Results
**M_tot**: 0.0 μB/f.u.
**ΔH_f (0 K)**: -17.7 kJ/mol of atoms
**DOS at the Fermi energy**: 1.7 states/eV/cell
**Space-group type**: No. 44

=====

A relaxed Pm2PrNd12 crystal. Source: Alexandria, functional PBE.

Cell and atoms, written as POSCAR:
```
Pm2PrNd12
1.0
6.702 -1.581 0.000
-1.581 6.702 0.000
0.000 0.000 25.273
Pm Pr Nd
4 2 24
direct
0.500 0.000 0.268
0.000 0.500 0.274
0.000 0.500 0.732
0.500 0.000 0.726
0.500 0.000 0.999
0.000 0.500 0.001
0.500 0.500 0.800
0.000 0.000 0.800
0.753 0.747 0.924
0.252 0.752 0.870
0.000 0.000 0.327
0.248 0.748 0.130
0.771 0.271 0.582
0.500 0.500 0.327
0.247 0.253 0.924
0.747 0.753 0.076
0.275 0.225 0.560
0.729 0.229 0.418
0.000 0.000 0.673
0.225 0.275 0.440
0.253 0.247 0.076
0.775 0.725 0.440
0.725 0.775 0.560
0.000 0.000 0.200
0.229 0.729 0.582
0.500 0.500 0.673
0.748 0.248 0.870
0.500 0.500 0.200
0.271 0.771 0.418
0.752 0.252 0.130
```

Results
**M_tot**: 0.0 μB/f.u.
**ΔH_f (0 K)**: 14.1 kJ/mol of atoms
**DOS at the Fermi energy**: 42.7 states/eV/cell
**Space-group type**: No. 67

=====

A relaxed Ag2WBr crystal. Source: Alexandria, functional PBE.

Cell and atoms, written as POSCAR:
```
Ag2WBr
1.0
5.806 0.002 0.000
3.123 4.895 0.000
-4.464 -2.449 2.791
Br Ag W
1 2 1
direct
0.250 0.750 0.500
0.000 0.000 0.000
0.500 0.500 0.000
0.750 0.250 0.500
```

Results
**M_tot**: 3.0 μB/f.u.
**DOS at the Fermi energy**: 3.4 states/eV/cell
**ΔE_f (raw)**: 1.21 eV/atom
**Space-group type**: No. 139

=====

A relaxed TcAg2Au crystal. Source: Alexandria, functional PBE.

Cell and atoms, written as POSCAR:
```
TcAg2Au
1.0
-1.349 1.258 2.026
-3.430 -2.180 -0.931
1.699 -4.296 3.800
Ag Au Tc
2 1 1
direct
0.000 0.000 0.996
0.500 0.500 0.244
0.000 0.000 0.518
0.500 0.500 0.741
```

Results
**M_tot**: 0.9 μB/f.u.
**ΔH_f (0 K)**: 37.9 kJ/mol of atoms
**DOS at the Fermi energy**: 2.7 states/eV/cell
**Space-group type**: No. 25

=====

A relaxed TaFeAu2 crystal. Source: Alexandria, functional PBE.

Cell and atoms, written as POSCAR:
```
TaFeAu2
1.0
4.522 0.000 0.000
2.261 3.916 0.000
2.261 1.305 3.692
Au Fe Ta
2 1 1
direct
0.000 0.000 0.000
0.250 0.250 0.250
0.500 0.500 0.500
0.750 0.750 0.750
```

Results
**M_tot**: 1.8 μB/f.u.
**ΔH_f (0 K)**: 13.7 kJ/mol of atoms
**DOS at the Fermi energy**: 2.9 states/eV/cell
**Space-group type**: No. 216

=====

| no. | energy (eV/atom) |
| --- | --- |
| 1 | -8.264 |
| 2 | -3.888 |
| 3 | -4.883 |
| 4 | -2.310 |
| 5 | -4.620 |
| 6 | -3.868 |
| 7 | -4.443 |
| 8 | -6.575 |